# PBE Ac3La12Tb, relaxed
# Fermi-level density of states in states/eV per cell: 29.37
# ΔH_f (0 K) in kJ per mole of atoms: 1.3
# Uncorrected energy in eV per atom: -4.74
data_Ac3La12Tb
_space_group_name_H-M_alt 'P 4/m m m'
_space_group_IT_number 123
_space_group_name_Hall '-P 4 2'
_cell_length_a 5.3293
_cell_length_b 5.3293
_cell_length_c 21.2643
_cell_angle_alpha 90.00
_cell_angle_beta 90.00
_cell_angle_gamma 90.00
loop_
_atom_site_label
_atom_site_type_symbol
_atom_site_fract_x
_atom_site_fract_y
_atom_site_fract_z
Ac1 Ac 0.0000 0.0000 0.0000
Ac2 Ac 0.0000 0.0000 0.2525
La1 La 0.0000 0.5000 0.1260
La2 La 0.0000 0.5000 0.3797
La3 La 0.5000 0.5000 0.0000
La4 La 0.5000 0.5000 0.2543
La5 La 0.5000 0.5000 0.5000
Tb1 Tb 0.0000 0.0000 0.5000